[1]
This record from Alexandria describes a relaxed SmTlZn crystal. The functional is PBE.

## Properties
Energy of formation from the pure elements = -0.185 eV/atom

Lattice parameters (Å, degrees): 3.562 3.562 11.688 90.00 90.00 90.00
Space group I4mm (No. 107)
Inequivalent atoms, fractional coordinates:
1 Sm 0.000 0.000 0.000 x2
2 Tl 0.000 0.000 0.697 x2
3 Zn 0.000 0.000 0.340 x2

***

[2]
This record from Alexandria describes a relaxed Mg2ZrRu crystal. The functional is PBE.

## Properties
Relative energy among the computed polymorphs = 0.000 eV per formula unit
Energy of formation from the pure elements = -0.195 eV/atom

Lattice parameters (Å, degrees): 3.292 3.292 7.339 90.00 90.00 90.00
Space group P4mm (No. 99)
Inequivalent atoms, fractional coordinates:
1 Mg 0.000 0.000 0.000 x1
2 Mg 0.500 0.500 0.276 x1
3 Zr 0.500 0.500 0.689 x1
4 Ru 0.000 0.000 0.498 x1

***

[3]
This record from Alexandria describes a relaxed Rb2TbAuCl6 crystal. The functional is PBE.

## Properties
Relative energy among the computed polymorphs = 0.363 eV per formula unit
Raw formation energy = -1.67 eV per atom

Lattice parameters (Å, degrees): 10.797 10.797 10.797 90.00 90.00 90.00
Space group Fm-3m (No. 225)
Inequivalent atoms, fractional coordinates:
1 Rb 0.250 0.250 0.250 x8
2 Tb 0.000 0.000 0.000 x4
3 Au 0.000 0.000 0.500 x4
4 Cl 0.000 0.000 0.245 x24

***

[4]
This record from Alexandria describes a relaxed BaZn2Ag2 crystal. The functional is PBE.

## Properties
Relative energy among the computed polymorphs = 0.062 eV per formula unit
Energy of formation from the pure elements = -0.182 eV/atom

Lattice parameters (Å, degrees): 4.682 4.682 11.069 90.00 90.00 90.00
Space group I4/mmm (No. 139)
Inequivalent atoms, fractional coordinates:
1 Ba 0.000 0.000 0.000 x2
2 Zn 0.000 0.500 0.250 x4
3 Ag 0.000 0.000 0.371 x4

***

- What is the formula in the second record?
  Mg2ZrRu